1.
Density functional theory data (PBE) for a relaxed Dy2RuAu crystal.

Cell: 3.438 3.438 7.276 Å, 90.00 90.00 90.00°
Fractional positions:
Dy 0.000 0.000 0.230
Dy 0.000 0.000 0.770
Ru 0.500 0.500 0.000
Au 0.500 0.500 0.500

Computed properties:
- Space-group type: P4/mmm (123)
- Spin magnetization: 0.0 μB per formula unit
- Formation energy from the elements: -655 meV per atom
- Calculated volume: 21.498 A^3/atom

***

2.
Density functional theory data (PBE) for a relaxed YCu2W crystal.

Cell: 4.315 4.315 9.272 Å, 76.54 76.54 90.00°
Fractional positions:
Cu 0.875 0.993 0.750
Cu 0.375 0.257 0.750
Cu 0.007 0.625 0.250
Cu 0.743 0.125 0.250
W 0.000 0.000 0.000
W 0.750 0.250 0.500
Y 0.500 0.500 0.000
Y 0.250 0.750 0.500

Computed properties:
- E above lowest polymorph: 0.559 eV per atom
- Space-group type: I-42d (122)
- Spin magnetization: 0.0 μB per formula unit
- Formation energy from the elements: 855 meV per atom
- Calculated volume: 20.383 A^3/atom

***

3.
Density functional theory data (PBE) for a relaxed DyZn2Pd8 crystal.

Cell: 4.116 6.368 7.327 Å, 107.07 106.31 90.00°
Fractional positions:
Pd 0.317 0.075 0.633
Pd 0.683 0.925 0.367
Pd 0.045 0.723 0.090
Pd 0.601 0.473 0.202
Pd 0.399 0.527 0.798
Pd 0.148 0.212 0.296
Pd 0.955 0.277 0.910
Pd 0.852 0.788 0.704
Dy 0.500 0.000 0.000
Zn 0.224 0.652 0.448
Zn 0.776 0.348 0.552

Computed properties:
- Space-group type: C2/m (12)
- Spin magnetization: 0.0 μB per formula unit
- Formation energy from the elements: -518 meV per atom
- Calculated volume: 15.951 A^3/atom

***

4.
Density functional theory data (PBE) for a relaxed BiP2Pd8 crystal.

Cell: 3.963 6.505 7.762 Å, 113.52 104.79 90.00°
Fractional positions:
P 0.187 0.676 0.373
P 0.813 0.324 0.627
Pd 0.403 0.512 0.805
Pd 0.317 0.026 0.634
Pd 0.808 0.683 0.615
Pd 0.597 0.488 0.195
Pd 0.957 0.257 0.913
Pd 0.683 0.974 0.366
Pd 0.192 0.317 0.385
Pd 0.043 0.743 0.087
Bi 0.500 0.000 0.000

Computed properties:
- E above lowest polymorph: 0.015 eV per atom
- Space-group type: C2/m (12)
- Spin magnetization: 0.0 μB per formula unit
- Formation energy from the elements: -388 meV per atom
- Calculated volume: 16.020 A^3/atom

***

5.
Density functional theory data (PBE) for a relaxed Ba2CdInRh crystal.

Cell: 6.018 6.018 5.221 Å, 90.00 90.00 90.00°
Fractional positions:
In 0.000 0.000 0.500
Cd 0.500 0.500 0.500
Ba 0.500 0.000 0.000
Ba 0.000 0.500 0.000
Rh 0.000 0.000 0.000

Computed properties:
- E above lowest polymorph: 0.000 eV per atom
- Space-group type: P4/mmm (123)
- Spin magnetization: 0.0 μB per formula unit
- Formation energy from the elements: -277 meV per atom
- Calculated volume: 37.817 A^3/atom

***

6.
Density functional theory data (PBE) for a relaxed Li2AcAlIn4 crystal.

Cell: 4.853 4.853 10.092 Å, 76.09 76.09 60.00°
Fractional positions:
In 0.874 0.874 0.378
In 0.402 0.402 0.794
In 0.598 0.598 0.206
In 0.126 0.126 0.622
Ac 0.000 0.000 0.000
Li 0.768 0.768 0.697
Li 0.232 0.232 0.303
Al 0.500 0.500 0.500

Computed properties:
- Space-group type: R-3m (166)
- Spin magnetization: 0.0 μB per formula unit
- Formation energy from the elements: -235 meV per atom
- Calculated volume: 24.722 A^3/atom

***

Which formula does entry 5 have? Ba2CdInRh

***

What is the formation energy from the elements in the first record? -655 meV per atom